The following is a DFT calculation (PBE-GGA) of LiHo2H after structural relaxation.

Cell lengths 3.4550, 3.4550, 9.1390 Å; angles 79.10, 79.10, 60.00 degrees
Closest atoms and distances in Å follow each position.
Fractional coordinates of all 4 atoms:
Ho1 0.8829 0.8829 0.3513  3 H 2.40
Ho2 0.1171 0.1171 0.6487  3 H 2.40
H1 0.5000 0.5000 0.5000  6 Ho 2.40
Li1 0.0000 0.0000 0.0000  2 Ho 3.13, 6 Li 3.46

Summary:
Symmetry: No. 166
E_tot, eV/cell: -14.50